1.
ThPRh | GGA-PBE | relaxed

The structure in CIF format:
```
data_ThPRh
_chemical_formula_sum 'Th4 P4 Rh4'
_cell_length_a 7.3178
_cell_length_b 8.8660
_cell_length_c 3.9498
_cell_angle_alpha 90.00
_cell_angle_beta 90.00
_cell_angle_gamma 90.00
_space_group_name_H-M_alt 'P n n m'
_space_group_IT_number 58
_space_group_name_Hall '-P 2 2n'
loop_
_atom_site_label
_atom_site_fract_x
_atom_site_fract_y
_atom_site_fract_z
Th1 0.1245 0.2286 0.0000
P1 0.1826 0.5554 0.0000
Rh1 0.0000 0.0000 0.5000
Rh2 0.0000 0.5000 0.5000
```

Computed properties:
magnetic moment	0.00	μB per formula unit
crystal system	orthorhombic

---

2.
Th3P2Rh7 | GGA-PBE | relaxed

The structure in CIF format:
```
data_Th3P2Rh7
_chemical_formula_sum 'Th6 P4 Rh14'
_cell_length_a 4.0308
_cell_length_b 4.0308
_cell_length_c 27.0408
_cell_angle_alpha 90.00
_cell_angle_beta 90.00
_cell_angle_gamma 90.00
_space_group_name_H-M_alt 'I 4/m m m'
_space_group_IT_number 139
_space_group_name_Hall '-I 4 2'
loop_
_atom_site_label
_atom_site_fract_x
_atom_site_fract_y
_atom_site_fract_z
Th1 0.0000 0.0000 0.0000
Th2 0.0000 0.0000 0.1740
P1 0.0000 0.0000 0.3736
Rh1 0.0000 0.0000 0.2869
Rh2 0.0000 0.0000 0.5000
Rh3 0.0000 0.5000 0.0827
```

Computed properties:
magnetic moment	0.00	μB per formula unit
crystal system	tetragonal

---

3.
ThP3Rh6 | GGA-PBE | relaxed

The structure in CIF format:
```
data_ThP3Rh6
_chemical_formula_sum 'Th1 P3 Rh6'
_cell_length_a 5.6792
_cell_length_b 5.7958
_cell_length_c 6.1230
_cell_angle_alpha 68.48
_cell_angle_beta 89.27
_cell_angle_gamma 60.70
_space_group_name_H-M_alt 'P 1'
_space_group_IT_number 1
_space_group_name_Hall 'P 1'
loop_
_atom_site_label
_atom_site_fract_x
_atom_site_fract_y
_atom_site_fract_z
Th1 0.0000 0.0000 0.0000
P1 0.0930 0.7663 0.5304
P2 0.3852 0.2723 0.1753
P3 0.6883 0.5705 0.1847
Rh1 0.0958 0.1953 0.4433
Rh2 0.4627 0.5792 0.8441
Rh3 0.4769 0.0445 0.9099
Rh4 0.4795 0.3921 0.4661
Rh5 0.6791 0.7994 0.4285
Rh6 0.9770 0.5459 0.8975
```

Computed properties:
magnetic moment	0.00	μB per formula unit
crystal system	triclinic

---

4.
Th2TiP3Rh12 | GGA-PBE | relaxed

The structure in CIF format:
```
data_Th2TiP3Rh12
_chemical_formula_sum 'Th6 Ti3 P9 Rh36'
_cell_length_a 8.4415
_cell_length_b 8.4415
_cell_length_c 15.2679
_cell_angle_alpha 90.00
_cell_angle_beta 90.00
_cell_angle_gamma 120.00
_space_group_name_H-M_alt 'R -3 m'
_space_group_IT_number 166
_space_group_name_Hall '-R 3 2"'
loop_
_atom_site_label
_atom_site_fract_x
_atom_site_fract_y
_atom_site_fract_z
Th1 0.0000 0.0000 0.1105
Ti1 0.0000 0.0000 0.5000
P1 0.0000 0.5000 0.0000
Rh1 0.0117 0.5058 0.8552
Rh2 0.0502 0.5251 0.3559
```

Computed properties:
magnetic moment	0.00	μB per formula unit
crystal system	trigonal

---

5.
Th2TiP3Rh4 | GGA-PBE | relaxed

The structure in CIF format:
```
data_Th2TiP3Rh4
_chemical_formula_sum 'Th2 Ti1 P3 Rh4'
_cell_length_a 4.0540
_cell_length_b 4.0540
_cell_length_c 10.4990
_cell_angle_alpha 90.00
_cell_angle_beta 90.00
_cell_angle_gamma 90.00
_space_group_name_H-M_alt 'P -4 m 2'
_space_group_IT_number 115
_space_group_name_Hall 'P -4 -2'
loop_
_atom_site_label
_atom_site_fract_x
_atom_site_fract_y
_atom_site_fract_z
Th1 0.0000 0.5000 0.2367
Ti1 0.0000 0.0000 0.5000
P1 0.0000 0.5000 0.8647
P2 0.5000 0.5000 0.5000
Rh1 0.0000 0.0000 0.0000
Rh2 0.0000 0.5000 0.6382
Rh3 0.5000 0.5000 0.0000
```

Computed properties:
magnetic moment	0.00	μB per formula unit
crystal system	tetragonal

---

6.
TmTh2P3Rh4 | GGA-PBE | relaxed

The structure in CIF format:
```
data_TmTh2P3Rh4
_chemical_formula_sum 'Tm1 Th2 P3 Rh4'
_cell_length_a 4.0300
_cell_length_b 4.0300
_cell_length_c 11.2531
_cell_angle_alpha 90.00
_cell_angle_beta 90.00
_cell_angle_gamma 90.00
_space_group_name_H-M_alt 'P -4 m 2'
_space_group_IT_number 115
_space_group_name_Hall 'P -4 -2'
loop_
_atom_site_label
_atom_site_fract_x
_atom_site_fract_y
_atom_site_fract_z
Tm1 0.0000 0.0000 0.0000
Th1 0.0000 0.5000 0.7227
P1 0.0000 0.5000 0.3746
P2 0.5000 0.5000 0.0000
Rh1 0.0000 0.0000 0.5000
Rh2 0.0000 0.5000 0.1652
Rh3 0.5000 0.5000 0.5000
```

Computed properties:
magnetic moment	0.00	μB per formula unit
crystal system	tetragonal

---

no.,E_form (meV per atom)
1,-1024.9
2,-1001.3
3,-789.1
4,-418.9
5,-1103.5
6,-1105.6